Below is MnZn2PbO6 after structural relaxation, with properties calculated at the PBE+U level.

## Properties
electronic total energy = -0.405 Ry/atom
calculated density = 7087 kg/m3

a = 5.3061 Å, b = 5.3061 Å, c = 14.0961 Å
α = 90.00°, β = 90.00°, γ = 120.00°
With the nearest neighbours (Å) after each atom.
Space group R3 (No. 146, hexagonal axes)
Symmetry-distinct sites (fractional):
Mn: 0.0000 0.0000 0.0000 x3  6 O 1.95-1.98
Zn: 0.0000 0.0000 0.2151 x3  3 O 2.04
Zn: 0.0000 0.0000 0.7052 x3  3 O 2.02
Pb: 0.0000 0.0000 0.4906 x3  6 O 2.16-2.29
O: 0.9998 0.3598 0.2656 x9  1 Mn 1.95, 1 Zn 2.04
O: 0.0539 0.6759 0.7573 x9  1 Mn 1.98, 1 Zn 2.02, 1 Pb 2.16